A relaxed structure of KSi2Br. Source: the Alexandria database, functional PBE-GGA.

Computed properties:
Magnetic moment, μB/atom: 0.000
Formation energy from raw total energies, kJ/mol of atoms: 75.3
Final energy, eV/atom: -2.624
Relative energy among the computed polymorphs, kcal/mol of atoms: 27.11

Cell and atoms, written as CIF:
```
data_KSi2Br
_chemical_formula_sum 'K1 Si2 Br1'
_cell_length_a 3.2358
_cell_length_b 3.2358
_cell_length_c 9.1904
_cell_angle_alpha 90.00
_cell_angle_beta 90.00
_cell_angle_gamma 90.00
_symmetry_space_group_name_H-M 'P 4/m m m'
_symmetry_Int_Tables_number 123
_symmetry_space_group_name_Hall '-P 4 2'
loop_
_atom_site_label
_atom_site_type_symbol
_atom_site_fract_x
_atom_site_fract_y
_atom_site_fract_z
_atom_site_occupancy
K1 K 0.0000 0.0000 0.0000 1
Si1 Si 0.5000 0.5000 0.2861 1
Br1 Br 0.0000 0.0000 0.5000 1
```



A relaxed structure of Dy5Ho8Er. Source: the Alexandria database, functional PBE-GGA.

Computed properties:
Magnetic moment, μB/atom: 0.000
Final energy, eV/atom: -4.328

Cell and atoms, written as CIF:
```
data_Dy5Ho8Er
_chemical_formula_sum 'Dy10 Ho16 Er2'
_cell_length_a 9.4826
_cell_length_b 9.4826
_cell_length_c 9.9906
_cell_angle_alpha 90.00
_cell_angle_beta 90.00
_cell_angle_gamma 90.00
_symmetry_space_group_name_H-M 'I -4'
_symmetry_Int_Tables_number 82
_symmetry_space_group_name_Hall 'I -4'
loop_
_atom_site_label
_atom_site_type_symbol
_atom_site_fract_x
_atom_site_fract_y
_atom_site_fract_z
_atom_site_occupancy
Dy1 Dy 0.0000 0.0000 0.0000 1
Dy2 Dy 0.1106 0.7889 0.4236 1
Ho1 Ho 0.0704 0.6757 0.0942 1
Ho2 Ho 0.0885 0.8260 0.7522 1
Er1 Er 0.0000 0.5000 0.7500 1
```



A relaxed structure of Te2AsP. Source: the Alexandria database, functional PBE-GGA.

Computed properties:
Magnetic moment, μB/atom: 0.000
Formation energy from raw total energies, kJ/mol of atoms: 46.5
Final energy, eV/atom: -3.603
Relative energy among the computed polymorphs, kcal/mol of atoms: 7.99

Cell and atoms, written as CIF:
```
data_Te2AsP
_chemical_formula_sum 'Te4 As2 P2'
_cell_length_a 3.8414
_cell_length_b 7.8329
_cell_length_c 8.3654
_cell_angle_alpha 90.00
_cell_angle_beta 90.00
_cell_angle_gamma 90.00
_symmetry_space_group_name_H-M 'I m m m'
_symmetry_Int_Tables_number 71
_symmetry_space_group_name_Hall '-I 2 2'
loop_
_atom_site_label
_atom_site_type_symbol
_atom_site_fract_x
_atom_site_fract_y
_atom_site_fract_z
_atom_site_occupancy
Te1 Te 0.0000 0.2408 0.0000 1
As1 As 0.0000 0.0000 0.5000 1
P1 P 0.0000 0.5000 0.5000 1
```



Q: Which of these has the lowest final energy?
A: Dy5Ho8Er



Q: final energy of number 2 (Dy5Ho8Er)?
A: -4.328 eV/atom



Q: Number 2 is which compound?
A: Dy5Ho8Er